# 1
{"formula": "LiVSiO5", "functional": "SCAN", "state": "PBEsol geometry", "raw_formation_energy_ev_per_atom": -2.648, "cell": [[8.894, 0.000, 0.000], [0.000, 4.422, 0.000], [0.000, 0.000, 9.210]], "species": ["Li", "Li", "Li", "Li", "V", "V", "V", "V", "Si", "Si", "Si", "Si", "O", "O", "O", "O", "O", "O", "O", "O", "O", "O", "O", "O", "O", "O", "O", "O", "O", "O", "O", "O"], "frac_coords": [[0.000, 0.026, 0.000], [0.000, 0.974, 0.500], [0.500, 0.348, 0.223], [0.500, 0.652, 0.723], [0.000, 0.418, 0.733], [0.000, 0.582, 0.233], [0.500, 0.056, 0.940], [0.500, 0.944, 0.440], [0.251, 0.484, 0.484], [0.251, 0.516, 0.984], [0.749, 0.484, 0.484], [0.749, 0.516, 0.984], [0.000, 0.219, 0.223], [0.000, 0.781, 0.723], [0.141, 0.325, 0.875], [0.141, 0.675, 0.375], [0.142, 0.297, 0.595], [0.142, 0.703, 0.095], [0.356, 0.232, 0.402], [0.356, 0.768, 0.902], [0.361, 0.265, 0.060], [0.361, 0.735, 0.560], [0.500, 0.233, 0.788], [0.500, 0.767, 0.288], [0.639, 0.265, 0.060], [0.639, 0.735, 0.560], [0.644, 0.232, 0.402], [0.644, 0.768, 0.902], [0.858, 0.297, 0.595], [0.858, 0.703, 0.095], [0.859, 0.325, 0.875], [0.859, 0.675, 0.375]]}

***

# 2
{"formula": "Li2VSi6O15", "functional": "SCAN", "state": "PBEsol geometry", "raw_formation_energy_ev_per_atom": -2.871, "cell": [[-3.917, 7.335, 4.933], [3.917, -7.335, 4.933], [3.917, 7.335, -4.933]], "species": ["Li", "Li", "Li", "Li", "V", "V", "Si", "Si", "Si", "Si", "Si", "Si", "Si", "Si", "Si", "Si", "Si", "Si", "O", "O", "O", "O", "O", "O", "O", "O", "O", "O", "O", "O", "O", "O", "O", "O", "O", "O", "O", "O", "O", "O", "O", "O", "O", "O", "O", "O", "O", "O"], "frac_coords": [[0.255, 0.000, 0.755], [0.255, 0.500, 0.255], [0.745, 0.000, 0.245], [0.745, 0.500, 0.745], [0.000, 0.000, 0.000], [0.500, 0.000, 0.500], [0.109, 0.274, 0.457], [0.109, 0.652, 0.836], [0.317, 0.274, 0.664], [0.317, 0.652, 0.043], [0.378, 0.729, 0.649], [0.421, 0.271, 0.149], [0.579, 0.729, 0.851], [0.622, 0.271, 0.351], [0.683, 0.348, 0.957], [0.683, 0.726, 0.336], [0.891, 0.348, 0.164], [0.891, 0.726, 0.543], [0.018, 0.266, 0.106], [0.018, 0.912, 0.753], [0.023, 0.397, 0.627], [0.178, 0.179, 0.502], [0.178, 0.676, 0.998], [0.232, 0.164, 0.068], [0.265, 0.462, 0.470], [0.265, 0.795, 0.803], [0.270, 0.397, 0.873], [0.340, 0.088, 0.606], [0.340, 0.734, 0.253], [0.404, 0.836, 0.568], [0.453, 0.203, 0.250], [0.492, 0.462, 0.697], [0.492, 0.795, 0.030], [0.508, 0.205, 0.970], [0.508, 0.538, 0.303], [0.547, 0.797, 0.750], [0.596, 0.164, 0.432], [0.660, 0.266, 0.747], [0.660, 0.912, 0.394], [0.730, 0.603, 0.127], [0.735, 0.205, 0.197], [0.735, 0.538, 0.530], [0.768, 0.836, 0.932], [0.822, 0.324, 0.002], [0.822, 0.821, 0.498], [0.977, 0.603, 0.373], [0.982, 0.088, 0.247], [0.982, 0.734, 0.894]]}

***

# 3
{"formula": "Li3VSiO5", "functional": "SCAN", "state": "PBEsol geometry", "raw_formation_energy_ev_per_atom": -2.628, "cell": [[5.440, 0.000, 0.000], [0.000, 15.650, 0.000], [0.000, 0.000, 4.819]], "species": ["Li", "Li", "Li", "Li", "Li", "Li", "Li", "Li", "Li", "Li", "Li", "Li", "V", "V", "V", "V", "Si", "Si", "Si", "Si", "O", "O", "O", "O", "O", "O", "O", "O", "O", "O", "O", "O", "O", "O", "O", "O", "O", "O", "O", "O"], "frac_coords": [[0.162, 0.091, 0.000], [0.165, 0.506, 0.005], [0.180, 0.696, 0.007], [0.320, 0.196, 0.507], [0.335, 0.006, 0.505], [0.338, 0.591, 0.500], [0.662, 0.409, 0.000], [0.665, 0.994, 0.005], [0.680, 0.804, 0.007], [0.820, 0.304, 0.507], [0.835, 0.494, 0.505], [0.838, 0.909, 0.500], [0.168, 0.301, 0.005], [0.332, 0.801, 0.505], [0.668, 0.199, 0.005], [0.832, 0.699, 0.505], [0.168, 0.903, 0.004], [0.332, 0.403, 0.504], [0.668, 0.597, 0.004], [0.832, 0.097, 0.504], [0.117, 0.102, 0.603], [0.164, 0.703, 0.589], [0.177, 0.899, 0.656], [0.181, 0.313, 0.600], [0.182, 0.486, 0.605], [0.318, 0.986, 0.105], [0.319, 0.813, 0.100], [0.323, 0.399, 0.156], [0.336, 0.203, 0.089], [0.383, 0.602, 0.103], [0.617, 0.398, 0.603], [0.664, 0.797, 0.589], [0.677, 0.601, 0.656], [0.681, 0.187, 0.600], [0.682, 0.014, 0.605], [0.818, 0.514, 0.105], [0.819, 0.687, 0.100], [0.823, 0.101, 0.156], [0.836, 0.297, 0.089], [0.883, 0.898, 0.103]]}

***

# 4
{"formula": "Li3VSi2O7", "functional": "SCAN", "state": "PBEsol geometry", "raw_formation_energy_ev_per_atom": -2.720, "cell": [[8.870, 0.000, 0.000], [0.000, 12.256, 0.000], [0.000, 0.000, 4.942]], "species": ["Li", "Li", "Li", "Li", "Li", "Li", "Li", "Li", "Li", "Li", "Li", "Li", "V", "V", "V", "V", "Si", "Si", "Si", "Si", "Si", "Si", "Si", "Si", "O", "O", "O", "O", "O", "O", "O", "O", "O", "O", "O", "O", "O", "O", "O", "O", "O", "O", "O", "O", "O", "O", "O", "O", "O", "O", "O", "O"], "frac_coords": [[0.016, 0.250, 0.019], [0.170, 0.594, 0.531], [0.170, 0.906, 0.531], [0.330, 0.094, 0.031], [0.330, 0.406, 0.031], [0.484, 0.750, 0.519], [0.516, 0.250, 0.481], [0.670, 0.594, 0.969], [0.670, 0.906, 0.969], [0.830, 0.094, 0.469], [0.830, 0.406, 0.469], [0.984, 0.750, 0.981], [0.000, 0.000, 0.000], [0.000, 0.500, 0.000], [0.500, 0.000, 0.500], [0.500, 0.500, 0.500], [0.182, 0.131, 0.507], [0.182, 0.369, 0.507], [0.318, 0.631, 0.007], [0.318, 0.869, 0.007], [0.682, 0.131, 0.993], [0.682, 0.369, 0.993], [0.818, 0.631, 0.493], [0.818, 0.869, 0.493], [0.105, 0.034, 0.331], [0.105, 0.466, 0.331], [0.112, 0.250, 0.399], [0.139, 0.629, 0.931], [0.139, 0.871, 0.931], [0.142, 0.118, 0.827], [0.142, 0.382, 0.827], [0.358, 0.618, 0.327], [0.358, 0.882, 0.327], [0.361, 0.129, 0.431], [0.361, 0.371, 0.431], [0.388, 0.750, 0.899], [0.395, 0.534, 0.831], [0.395, 0.966, 0.831], [0.605, 0.034, 0.169], [0.605, 0.466, 0.169], [0.612, 0.250, 0.101], [0.639, 0.629, 0.569], [0.639, 0.871, 0.569], [0.642, 0.118, 0.673], [0.642, 0.382, 0.673], [0.858, 0.618, 0.173], [0.858, 0.882, 0.173], [0.861, 0.129, 0.069], [0.861, 0.371, 0.069], [0.888, 0.750, 0.601], [0.895, 0.534, 0.669], [0.895, 0.966, 0.669]]}

***

# 5
{"formula": "Li7V3Si2O12", "functional": "SCAN", "state": "PBEsol geometry", "raw_formation_energy_ev_per_atom": -2.604, "cell": [[2.369, -4.145, 0.000], [2.369, 4.145, 0.000], [-1.594, 0.000, 9.647]], "species": ["Li", "Li", "Li", "Li", "Li", "Li", "Li", "V", "V", "V", "Si", "Si", "O", "O", "O", "O", "O", "O", "O", "O", "O", "O", "O", "O"], "frac_coords": [[0.000, 0.000, 0.000], [0.082, 0.412, 0.244], [0.245, 0.245, 0.761], [0.412, 0.082, 0.244], [0.588, 0.918, 0.756], [0.755, 0.755, 0.239], [0.918, 0.588, 0.756], [0.143, 0.857, 0.500], [0.500, 0.500, 0.500], [0.857, 0.143, 0.500], [0.333, 0.667, 0.000], [0.667, 0.333, 0.000], [0.035, 0.666, 0.103], [0.123, 0.123, 0.364], [0.203, 0.542, 0.617], [0.334, 0.965, 0.897], [0.403, 0.403, 0.103], [0.458, 0.797, 0.383], [0.542, 0.203, 0.617], [0.597, 0.597, 0.897], [0.666, 0.035, 0.103], [0.797, 0.458, 0.383], [0.877, 0.877, 0.636], [0.965, 0.334, 0.897]]}

***

# 6
{"formula": "Li3VSi6O15", "functional": "SCAN", "state": "PBEsol geometry", "raw_formation_energy_ev_per_atom": -2.877, "cell": [[7.024, -8.421, 0.000], [7.024, 8.421, 0.000], [0.000, 0.000, 10.103]], "species": ["Li", "Li", "Li", "Li", "Li", "Li", "Li", "Li", "Li", "Li", "Li", "Li", "V", "V", "V", "V", "Si", "Si", "Si", "Si", "Si", "Si", "Si", "Si", "Si", "Si", "Si", "Si", "Si", "Si", "Si", "Si", "Si", "Si", "Si", "Si", "Si", "Si", "Si", "Si", "O", "O", "O", "O", "O", "O", "O", "O", "O", "O", "O", "O", "O", "O", "O", "O", "O", "O", "O", "O", "O", "O", "O", "O", "O", "O", "O", "O", "O", "O", "O", "O", "O", "O", "O", "O", "O", "O", "O", "O", "O", "O", "O", "O", "O", "O", "O", "O", "O", "O", "O", "O", "O", "O", "O", "O", "O", "O", "O", "O"], "frac_coords": [[0.016, 0.484, 0.750], [0.061, 0.939, 0.807], [0.240, 0.240, 0.000], [0.260, 0.260, 0.500], [0.439, 0.561, 0.307], [0.484, 0.016, 0.250], [0.516, 0.984, 0.750], [0.561, 0.439, 0.693], [0.740, 0.740, 0.500], [0.760, 0.760, 0.000], [0.939, 0.061, 0.193], [0.984, 0.516, 0.250], [0.158, 0.342, 0.250], [0.342, 0.158, 0.750], [0.658, 0.842, 0.250], [0.842, 0.658, 0.750], [0.017, 0.764, 0.486], [0.043, 0.189, 0.805], [0.079, 0.701, 0.955], [0.189, 0.043, 0.195], [0.201, 0.579, 0.455], [0.236, 0.983, 0.486], [0.264, 0.517, 0.986], [0.299, 0.921, 0.955], [0.311, 0.457, 0.695], [0.421, 0.799, 0.455], [0.457, 0.311, 0.305], [0.483, 0.736, 0.986], [0.517, 0.264, 0.014], [0.543, 0.689, 0.695], [0.579, 0.201, 0.545], [0.689, 0.543, 0.305], [0.701, 0.079, 0.045], [0.736, 0.483, 0.014], [0.764, 0.017, 0.514], [0.799, 0.421, 0.545], [0.811, 0.957, 0.805], [0.921, 0.299, 0.045], [0.957, 0.811, 0.195], [0.983, 0.236, 0.514], [0.008, 0.642, 0.826], [0.011, 0.282, 0.920], [0.032, 0.263, 0.667], [0.059, 0.941, 0.195], [0.094, 0.906, 0.498], [0.097, 0.256, 0.414], [0.115, 0.672, 0.514], [0.142, 0.508, 0.326], [0.145, 0.172, 0.165], [0.158, 0.842, 0.919], [0.172, 0.145, 0.835], [0.172, 0.615, 0.014], [0.218, 0.489, 0.580], [0.237, 0.468, 0.833], [0.244, 0.403, 0.086], [0.256, 0.097, 0.586], [0.263, 0.032, 0.333], [0.282, 0.011, 0.080], [0.328, 0.355, 0.335], [0.328, 0.885, 0.514], [0.342, 0.658, 0.419], [0.355, 0.328, 0.665], [0.358, 0.992, 0.826], [0.385, 0.828, 0.014], [0.403, 0.244, 0.914], [0.406, 0.594, 0.998], [0.441, 0.559, 0.695], [0.468, 0.237, 0.167], [0.489, 0.218, 0.420], [0.492, 0.858, 0.326], [0.508, 0.142, 0.674], [0.511, 0.782, 0.580], [0.532, 0.763, 0.833], [0.559, 0.441, 0.305], [0.594, 0.406, 0.002], [0.597, 0.756, 0.086], [0.615, 0.172, 0.986], [0.642, 0.008, 0.174], [0.645, 0.672, 0.335], [0.658, 0.342, 0.581], [0.672, 0.115, 0.486], [0.672, 0.645, 0.665], [0.718, 0.989, 0.920], [0.737, 0.968, 0.667], [0.744, 0.903, 0.414], [0.756, 0.597, 0.914], [0.763, 0.532, 0.167], [0.782, 0.511, 0.420], [0.828, 0.385, 0.986], [0.828, 0.855, 0.165], [0.842, 0.158, 0.081], [0.855, 0.828, 0.835], [0.858, 0.492, 0.674], [0.885, 0.328, 0.486], [0.903, 0.744, 0.586], [0.906, 0.094, 0.502], [0.941, 0.059, 0.805], [0.968, 0.737, 0.333], [0.989, 0.718, 0.080], [0.992, 0.358, 0.174]]}

***

# 7
{"formula": "Li4V2Si3O12", "functional": "SCAN", "state": "PBEsol geometry", "raw_formation_energy_ev_per_atom": -2.678, "cell": [[4.398, 2.539, 6.633], [-4.398, 2.539, 6.633], [0.000, -5.078, 6.633]], "species": ["Li", "Li", "Li", "Li", "Li", "Li", "Li", "Li", "V", "V", "V", "V", "Si", "Si", "Si", "Si", "Si", "Si", "O", "O", "O", "O", "O", "O", "O", "O", "O", "O", "O", "O", "O", "O", "O", "O", "O", "O", "O", "O", "O", "O", "O", "O"], "frac_coords": [[0.000, 0.000, 0.000], [0.163, 0.750, 0.337], [0.250, 0.663, 0.837], [0.337, 0.163, 0.750], [0.500, 0.500, 0.500], [0.663, 0.837, 0.250], [0.750, 0.337, 0.163], [0.837, 0.250, 0.663], [0.138, 0.138, 0.138], [0.362, 0.362, 0.362], [0.638, 0.638, 0.638], [0.862, 0.862, 0.862], [0.040, 0.460, 0.750], [0.250, 0.960, 0.540], [0.460, 0.750, 0.040], [0.540, 0.250, 0.960], [0.750, 0.040, 0.460], [0.960, 0.540, 0.250], [0.005, 0.635, 0.813], [0.060, 0.254, 0.911], [0.089, 0.940, 0.746], [0.135, 0.505, 0.313], [0.187, 0.995, 0.365], [0.246, 0.440, 0.589], [0.254, 0.911, 0.060], [0.313, 0.135, 0.505], [0.365, 0.187, 0.995], [0.411, 0.754, 0.560], [0.440, 0.589, 0.246], [0.495, 0.687, 0.865], [0.505, 0.313, 0.135], [0.560, 0.411, 0.754], [0.589, 0.246, 0.440], [0.635, 0.813, 0.005], [0.687, 0.865, 0.495], [0.746, 0.089, 0.940], [0.754, 0.560, 0.411], [0.813, 0.005, 0.635], [0.865, 0.495, 0.687], [0.911, 0.060, 0.254], [0.940, 0.746, 0.089], [0.995, 0.365, 0.187]]}

***

# 8
{"formula": "Li2VSi4O10", "functional": "SCAN", "state": "PBEsol geometry", "raw_formation_energy_ev_per_atom": -2.786, "cell": [[6.774, 0.000, 0.000], [-3.250, 6.719, 0.000], [-2.297, -2.556, 8.802]], "species": ["Li", "Li", "Li", "Li", "V", "V", "Si", "Si", "Si", "Si", "Si", "Si", "Si", "Si", "O", "O", "O", "O", "O", "O", "O", "O", "O", "O", "O", "O", "O", "O", "O", "O", "O", "O", "O", "O"], "frac_coords": [[0.169, 0.256, 0.449], [0.295, 0.820, 0.950], [0.705, 0.180, 0.050], [0.831, 0.744, 0.551], [0.274, 0.204, 0.071], [0.726, 0.796, 0.929], [0.138, 0.864, 0.229], [0.275, 0.094, 0.727], [0.297, 0.567, 0.323], [0.365, 0.763, 0.648], [0.635, 0.237, 0.352], [0.703, 0.433, 0.677], [0.725, 0.906, 0.273], [0.862, 0.136, 0.771], [0.035, 0.109, 0.687], [0.088, 0.890, 0.058], [0.127, 0.640, 0.225], [0.180, 0.857, 0.620], [0.223, 0.330, 0.256], [0.278, 0.575, 0.496], [0.390, 0.695, 0.802], [0.394, 0.041, 0.347], [0.397, 0.114, 0.901], [0.429, 0.268, 0.651], [0.571, 0.732, 0.349], [0.603, 0.886, 0.099], [0.606, 0.959, 0.653], [0.610, 0.305, 0.198], [0.722, 0.425, 0.504], [0.777, 0.670, 0.744], [0.820, 0.143, 0.380], [0.873, 0.360, 0.775], [0.912, 0.110, 0.942], [0.965, 0.891, 0.313]]}